Entry 1:
Material: LiTa2Cu
Method: DFT, PBE
State: relaxed

Summary:
Magnetic moment = 0.0 Bohr magnetons per cell

Unit cell a=7.151 b=7.151 c=5.146 alpha=90.00 beta=90.00 gamma=90.00
Space group I-42d (No. 122)
Asymmetric unit:
Li1 0.000 0.000 0.000
Ta1 0.232 0.750 0.625
Cu1 0.000 0.000 0.500



Entry 2:
Material: Li2TaCu
Method: DFT, PBE
State: relaxed

Summary:
Magnetic moment = 0.0 Bohr magnetons per cell

Unit cell a=2.623 b=4.832 c=9.682 alpha=90.00 beta=90.00 gamma=90.00
Space group Imm2 (No. 44)
Asymmetric unit:
Li1 0.000 0.000 0.000
Li2 0.000 0.500 0.245
Ta1 0.000 0.500 0.785
Cu1 0.000 0.000 0.526



| no. | ΔE to the lowest computed polymorph (eV per atom) | energy relative to the elements (meV per atom) |
| --- | --- | --- |
| 1 | 0.545 | 704 |
| 2 | 0.239 | 427 |